Entry 1:
First-principles (GGA-PBE) data for an optimized crystal structure of SrLi2Ca4, as listed in Alexandria via LeMat-Bulk.

Properties
As for the space group: No. 65. The calculation puts the electronic total energy at -13.10 eV per formula unit. The calculation puts the energy relative to the elements at 0.42 eV/f.u.

Cell: 11.5996 11.5996 4.0190 Å, 90.00 90.00 149.61°
Last column: nearest neighbours and their distance in Å.
Positions (direct):
Sr 0.0000 0.0000 0.0000  8 Li 3.94, 2 Sr 4.02, 4 Ca 4.02
Li 0.4331 0.5669 0.5000  1 Li 3.00
Li 0.5669 0.4331 0.5000  1 Li 3.00
Ca 0.1555 0.8445 0.5000  2 Li 3.63, 8 Ca 3.75-4.02, 2 Sr 4.02
Ca 0.3042 0.6958 0.0000  2 Li 3.52, 8 Ca 3.75-3.89
Ca 0.6958 0.3042 0.0000  2 Li 3.52, 8 Ca 3.75-3.89
Ca 0.8445 0.1555 0.5000  2 Li 3.63, 8 Ca 3.75-4.02, 2 Sr 4.02

=====

Entry 2:
First-principles (GGA-PBE) data for an optimized crystal structure of Sr6LiCa, as listed in Alexandria via LeMat-Bulk.

Properties
As for the space group: No. 148. The calculation puts the electronic total energy at -13.36 eV per formula unit. The excess energy over the best structure of this formula in the dataset comes out at 0.0444 eV per atom. The calculation puts the energy relative to the elements at 0.64 eV/f.u.

Cell: 7.3695 7.3695 7.3695 Å, 89.92 89.92 89.92°
Last column: nearest neighbours and their distance in Å.
Positions (direct):
Sr 0.9995 0.5000 0.2515  2 Sr 3.66-3.71
Sr 0.0005 0.5000 0.7485  2 Sr 3.66-3.71
Sr 0.2515 0.9995 0.5000  2 Sr 3.66-3.71
Sr 0.5000 0.2515 0.9995  2 Sr 3.66-3.71
Sr 0.5000 0.7485 0.0005  2 Sr 3.66-3.71
Sr 0.7485 0.0005 0.5000  2 Sr 3.66-3.71
Li 0.5000 0.5000 0.5000  12 Sr 4.11-4.12
Ca 0.0000 0.0000 0.0000  12 Sr 4.12-4.13

=====

Entry 3:
First-principles (GGA-PBE) data for an optimized crystal structure of SrLiCa2, as listed in Alexandria via LeMat-Bulk.

Properties
As for the space group: No. 225. The calculation puts the electronic total energy at -7.14 eV per formula unit. The excess energy over the best structure of this formula in the dataset comes out at 0.0971 eV per atom. The calculation puts the energy relative to the elements at 0.46 eV/f.u.

Cell: 6.1176 6.1176 6.1176 Å, 60.00 60.00 60.00°
Last column: nearest neighbours and their distance in Å.
Positions (direct):
Sr 0.0000 0.0000 0.0000  8 Ca 3.75
Li 0.5000 0.5000 0.5000  8 Ca 3.75
Ca 0.2500 0.2500 0.2500  4 Li 3.75, 4 Sr 3.75
Ca 0.7500 0.7500 0.7500  4 Li 3.75, 4 Sr 3.75

=====

Entry 4:
First-principles (GGA-PBE) data for an optimized crystal structure of Sr2Li6Ca, as listed in Alexandria via LeMat-Bulk.

Properties
As for the space group: No. 164. The calculation puts the electronic total energy at -16.53 eV per formula unit. The calculation puts the energy relative to the elements at 0.32 eV/f.u.

Cell: 6.8529 6.8529 6.8500 Å, 90.00 90.00 120.00°
Last column: nearest neighbours and their distance in Å.
Positions (direct):
Sr 0.3333 0.6667 0.1388  12 Li 3.78-3.88, 3 Ca 4.07
Sr 0.6667 0.3333 0.8612  12 Li 3.78-3.88, 3 Ca 4.07
Li 0.1876 0.3752 0.6325  4 Li 2.87-3.00
Li 0.1876 0.8124 0.6325  4 Li 2.87-3.00
Li 0.3752 0.1876 0.3675  4 Li 2.87-3.00
Li 0.6248 0.8124 0.6325  4 Li 2.87-3.00
Li 0.8124 0.1876 0.3675  4 Li 2.87-3.00
Li 0.8124 0.6248 0.3675  4 Li 2.87-3.00
Ca 0.0000 0.0000 0.0000  6 Li 3.36

=====

Entry 5:
First-principles (GGA-PBE) data for an optimized crystal structure of SrLi2Ca3, as listed in Alexandria via LeMat-Bulk.

Properties
As for the space group: No. 194. The calculation puts the electronic total energy at -11.18 eV per formula unit. The excess energy over the best structure of this formula in the dataset comes out at 0.0380 eV per atom. The calculation puts the energy relative to the elements at 0.34 eV/f.u.

Cell: 5.9027 5.9027 14.9420 Å, 90.00 90.00 120.00°
Last column: nearest neighbours and their distance in Å.
Positions (direct):
Sr 0.0000 0.0000 0.2500  8 Ca 3.74-4.08, 6 Li 3.78
Sr 0.0000 0.0000 0.7500  8 Ca 3.74-4.08, 6 Li 3.78
Li 0.3333 0.6667 0.1402  1 Li 3.28, 4 Ca 3.46-3.59
Li 0.3333 0.6667 0.3598  1 Li 3.28, 4 Ca 3.46-3.59
Li 0.6667 0.3333 0.6402  1 Li 3.28, 4 Ca 3.46-3.59
Li 0.6667 0.3333 0.8598  1 Li 3.28, 4 Ca 3.46-3.59
Ca 0.0000 0.0000 0.0000  6 Ca 3.72, 2 Sr 3.74, 6 Li 4.00
Ca 0.0000 0.0000 0.5000  6 Ca 3.72, 2 Sr 3.74, 6 Li 4.00
Ca 0.3333 0.6667 0.5998  4 Li 3.46-3.59, 3 Ca 3.72
Ca 0.3333 0.6667 0.9002  4 Li 3.46-3.59, 3 Ca 3.72
Ca 0.6667 0.3333 0.0998  4 Li 3.46-3.59, 3 Ca 3.72
Ca 0.6667 0.3333 0.4002  4 Li 3.46-3.59, 3 Ca 3.72

=====

Entry 6:
First-principles (GGA-PBE) data for an optimized crystal structure of SrLi3Ca, as listed in Alexandria via LeMat-Bulk.

Properties
As for the space group: No. 221. The calculation puts the electronic total energy at -6.46 eV per formula unit. The excess energy over the best structure of this formula in the dataset comes out at 0.5027 eV per atom. The calculation puts the energy relative to the elements at 2.96 eV/f.u.

Cell: 5.7204 5.7204 5.7204 Å, 90.00 90.00 90.00°
Last column: nearest neighbours and their distance in Å.
Positions (direct):
Sr 0.0000 0.0000 0.0000  6 Li 2.86
Li 0.0000 0.0000 0.5000  2 Sr 2.86
Li 0.0000 0.5000 0.0000  2 Sr 2.86
Li 0.5000 0.0000 0.0000  2 Sr 2.86
Ca 0.5000 0.5000 0.5000  12 Li 4.04

=====

Entry 7:
First-principles (GGA-PBE) data for an optimized crystal structure of Sr8Li2Ca, as listed in Alexandria via LeMat-Bulk.

Properties
As for the space group: No. 71. The calculation puts the electronic total energy at -18.55 eV per formula unit. The excess energy over the best structure of this formula in the dataset comes out at 0.0000 eV per atom. The calculation puts the energy relative to the elements at 0.74 eV/f.u.

Cell: 10.7953 10.7953 10.7953 Å, 148.69 123.57 65.96°
Last column: nearest neighbours and their distance in Å.
Positions (direct):
Sr 0.1237 0.3370 0.7866  3 Li 3.70-3.82, 3 Sr 4.06-4.14
Sr 0.1481 0.1481 0.0000  2 Ca 3.96, 2 Li 3.99, 8 Sr 4.06-4.14
Sr 0.3056 0.0000 0.3056  7 Sr 3.97-4.15, 2 Li 4.16, 2 Ca 4.27
Sr 0.4496 0.6630 0.7866  3 Li 3.70-3.82, 3 Sr 4.06-4.14
Sr 0.5504 0.3370 0.2134  3 Li 3.70-3.82, 3 Sr 4.06-4.14
Sr 0.6944 0.0000 0.6944  7 Sr 3.97-4.15, 2 Li 4.16, 2 Ca 4.27
Sr 0.8519 0.8519 0.0000  2 Ca 3.96, 2 Li 3.99, 8 Sr 4.06-4.14
Sr 0.8763 0.6630 0.2134  3 Li 3.70-3.82, 3 Sr 4.06-4.14
Li 0.2983 0.7983 0.5000  8 Sr 3.70-3.99
Li 0.7017 0.2017 0.5000  8 Sr 3.70-3.99
Ca 0.0000 0.5000 0.5000  12 Sr 3.96-4.27

=====

Entry 8:
First-principles (GGA-PBE) data for an optimized crystal structure of Sr4Li3Ca, as listed in Alexandria via LeMat-Bulk.

Properties
As for the space group: No. 123. The calculation puts the electronic total energy at -14.07 eV per formula unit. The calculation puts the energy relative to the elements at 0.40 eV/f.u.

Cell: 6.0283 6.0283 9.0283 Å, 90.00 90.00 90.00°
Last column: nearest neighbours and their distance in Å.
Positions (direct):
Sr 0.0000 0.5000 0.2316  6 Li 3.67-3.87, 2 Ca 3.87
Sr 0.0000 0.5000 0.7684  6 Li 3.67-3.87, 2 Ca 3.87
Sr 0.5000 0.0000 0.2316  6 Li 3.67-3.87, 2 Ca 3.87
Sr 0.5000 0.0000 0.7684  6 Li 3.67-3.87, 2 Ca 3.87
Li 0.0000 0.0000 0.0000  8 Sr 3.67
Li 0.0000 0.0000 0.5000  8 Sr 3.87, 4 Ca 4.26
Li 0.5000 0.5000 0.0000  8 Sr 3.67
Ca 0.5000 0.5000 0.5000  8 Sr 3.87, 4 Li 4.26

=====

Entry 9:
First-principles (GGA-PBE) data for an optimized crystal structure of Sr6LiCa, as listed in Alexandria via LeMat-Bulk.

Properties
As for the space group: No. 139. The calculation puts the electronic total energy at -13.72 eV per formula unit. The excess energy over the best structure of this formula in the dataset comes out at 0.0000 eV per atom. The calculation puts the energy relative to the elements at 0.29 eV/f.u.

Cell: 11.4818 11.4818 11.4818 Å, 149.26 149.26 44.03°
Last column: nearest neighbours and their distance in Å.
Positions (direct):
Sr 0.1111 0.6111 0.5000  2 Ca 3.85, 2 Li 3.85, 8 Sr 4.20-4.30
Sr 0.2468 0.2468 0.0000  12 Sr 4.20-4.31
Sr 0.3889 0.8889 0.5000  2 Li 3.85, 2 Ca 3.85, 8 Sr 4.20-4.30
Sr 0.6111 0.1111 0.5000  2 Ca 3.85, 2 Li 3.85, 8 Sr 4.20-4.30
Sr 0.7532 0.7532 0.0000  12 Sr 4.20-4.31
Sr 0.8889 0.3889 0.5000  2 Li 3.85, 2 Ca 3.85, 8 Sr 4.20-4.30
Li 0.5000 0.5000 0.0000  8 Sr 3.85, 4 Ca 4.30
Ca 0.0000 0.0000 0.0000  8 Sr 3.85, 4 Li 4.30

=====

Entry 10:
First-principles (GGA-PBE) data for an optimized crystal structure of Sr5Li2Ca5, as listed in Alexandria via LeMat-Bulk.

Properties
As for the space group: No. 2. The calculation puts the electronic total energy at -21.68 eV per formula unit. The calculation puts the energy relative to the elements at 0.57 eV/f.u.

Cell: 6.1146 9.6958 10.2772 Å, 68.67 72.76 71.79°
Last column: nearest neighbours and their distance in Å.
Positions (direct):
Sr 0.0000 0.0000 0.0000  6 Ca 3.75-3.81, 2 Sr 3.86, 4 Li 4.11-4.12
Sr 0.1066 0.5734 0.2136  3 Li 3.69-3.74, 2 Sr 3.86-4.02, 5 Ca 4.07-4.11
Sr 0.1651 0.1622 0.5079  8 Ca 3.91-4.35, 4 Sr 4.02-4.32
Sr 0.8349 0.8378 0.4921  8 Ca 3.91-4.35, 4 Sr 4.02-4.32
Sr 0.8934 0.4266 0.7864  3 Li 3.69-3.74, 2 Sr 3.86-4.02, 5 Ca 4.07-4.11
Li 0.3471 0.2956 0.0096  4 Ca 3.50-3.68, 3 Sr 3.69-3.74
Li 0.6529 0.7044 0.9904  4 Ca 3.50-3.68, 3 Sr 3.69-3.74
Ca 0.2492 0.7265 0.7760  3 Li 3.68-3.95, 7 Sr 3.81-4.11, 1 Ca 3.88
Ca 0.4251 0.9178 0.2321  2 Li 3.50-3.51, 4 Sr 3.75-3.91
Ca 0.5000 0.5000 0.5000  4 Ca 3.88-3.96, 6 Sr 4.07-4.34
Ca 0.5749 0.0822 0.7679  2 Li 3.50-3.51, 4 Sr 3.75-3.91
Ca 0.7508 0.2735 0.2240  3 Li 3.68-3.95, 7 Sr 3.81-4.11, 1 Ca 3.88

=====

Entry 11:
First-principles (GGA-PBE) data for an optimized crystal structure of SrLi2Ca6, as listed in Alexandria via LeMat-Bulk.

Properties
As for the space group: No. 123. The calculation puts the electronic total energy at -17.08 eV per formula unit. The excess energy over the best structure of this formula in the dataset comes out at 0.0000 eV per atom. The calculation puts the energy relative to the elements at 0.44 eV/f.u.

Cell: 5.4069 5.4069 12.1679 Å, 90.00 90.00 90.00°
Last column: nearest neighbours and their distance in Å.
Positions (direct):
Sr 0.0000 0.0000 0.0000  8 Li 4.05, 8 Ca 4.25
Li 0.5000 0.5000 0.1089  1 Li 2.65
Li 0.5000 0.5000 0.8911  1 Li 2.65
Ca 0.0000 0.0000 0.5000  12 Ca 3.82-3.89
Ca 0.0000 0.5000 0.2698  2 Li 3.34
Ca 0.0000 0.5000 0.7302  2 Li 3.34
Ca 0.5000 0.0000 0.2698  2 Li 3.34
Ca 0.5000 0.0000 0.7302  2 Li 3.34
Ca 0.5000 0.5000 0.5000  12 Ca 3.82-3.89

=====

Entry 12:
First-principles (GGA-PBE) data for an optimized crystal structure of Sr2Li5Ca, as listed in Alexandria via LeMat-Bulk.

Properties
As for the space group: No. 8. The calculation puts the electronic total energy at -14.47 eV per formula unit. The excess energy over the best structure of this formula in the dataset comes out at 0.0038 eV per atom. The calculation puts the energy relative to the elements at 0.47 eV/f.u.

Cell: 6.7709 6.7709 6.6917 Å, 107.53 107.53 102.71°
Last column: nearest neighbours and their distance in Å.
Positions (direct):
Sr 0.2021 0.7979 0.0000  6 Li 3.48-3.62
Sr 0.7979 0.2021 0.0000  6 Li 3.48-3.62
Li 0.2408 0.2408 0.5550  4 Li 2.88-3.15
Li 0.3093 0.6895 0.4910  3 Li 2.91-3.17
Li 0.3550 0.3550 0.0744  4 Li 3.13-3.28, 1 Ca 3.36
Li 0.6254 0.6254 0.8501  3 Li 2.88-2.91
Li 0.6895 0.3093 0.4910  3 Li 2.91-3.17
Ca 0.8042 0.8042 0.4190  7 Li 3.35-3.60